No. 1
# BiAsRu (PBE, relaxed)
# Space-group type: P2_1/c, No. 14
# Formation energy from the elements in eV/atom: -0.1194
# Raw total energy in eV per atom: -6.055
data_BiAsRu
_symmetry_space_group_name_H-M 'P 1'
_symmetry_Int_Tables_number 1
_symmetry_space_group_name_Hall 'P 1'
_cell_length_a 6.529
_cell_length_b 6.508
_cell_length_c 6.598
_cell_angle_alpha 111.80
_cell_angle_beta 90.00
_cell_angle_gamma 90.00
loop_
_atom_site_label
_atom_site_fract_x
_atom_site_fract_y
_atom_site_fract_z
Bi1 0.372 0.855 0.633
Bi2 0.128 0.855 0.133
Bi3 0.628 0.145 0.367
Bi4 0.872 0.145 0.867
Ru1 0.481 0.302 0.804
Ru2 0.519 0.698 0.196
Ru3 0.019 0.302 0.304
Ru4 0.981 0.698 0.696
As1 0.654 0.645 0.841
As2 0.154 0.355 0.659
As3 0.846 0.645 0.341
As4 0.346 0.355 0.159


No. 2
# BiAs3Ru (PBE, relaxed)
# Space-group type: Pm-3m, No. 221
# Formation energy from the elements in eV/atom: 0.3969
# Raw total energy in eV per atom: -5.024
# Energy above the lowest structure with this stoichiometry in kJ/mol of formula units: 0
data_BiAs3Ru
_symmetry_space_group_name_H-M 'P 1'
_symmetry_Int_Tables_number 1
_symmetry_space_group_name_Hall 'P 1'
_cell_length_a 4.850
_cell_length_b 4.850
_cell_length_c 4.850
_cell_angle_alpha 90.00
_cell_angle_beta 90.00
_cell_angle_gamma 90.00
loop_
_atom_site_label
_atom_site_fract_x
_atom_site_fract_y
_atom_site_fract_z
As1 0.000 0.000 0.500
As2 0.500 0.000 0.000
As3 0.000 0.500 0.000
Ru1 0.000 0.000 0.000
Bi1 0.500 0.500 0.500


No. 3
# BiAsRuSe2 (PBE, relaxed)
# Space-group type: P4/mmm, No. 123
# Uncorrected formation energy in kJ/mol of atoms: 30
# Raw total energy in eV per atom: -4.648
# Energy above the lowest structure with this stoichiometry in kJ/mol of formula units: 0
data_BiAsRuSe2
_symmetry_space_group_name_H-M 'P 1'
_symmetry_Int_Tables_number 1
_symmetry_space_group_name_Hall 'P 1'
_cell_length_a 5.088
_cell_length_b 5.088
_cell_length_c 4.592
_cell_angle_alpha 90.00
_cell_angle_beta 90.00
_cell_angle_gamma 90.00
loop_
_atom_site_label
_atom_site_fract_x
_atom_site_fract_y
_atom_site_fract_z
Se1 0.000 0.500 0.000
Se2 0.500 0.000 0.000
As1 0.000 0.000 0.500
Ru1 0.000 0.000 0.000
Bi1 0.500 0.500 0.500


No. 4
# BiAsRuSe2 (PBE, relaxed)
# Space-group type: P4/mmm, No. 123
# Uncorrected formation energy in kJ/mol of atoms: 141
# Raw total energy in eV per atom: -3.493
# Energy above the lowest structure with this stoichiometry in kJ/mol of formula units: 557
data_BiAsRuSe2
_symmetry_space_group_name_H-M 'P 1'
_symmetry_Int_Tables_number 1
_symmetry_space_group_name_Hall 'P 1'
_cell_length_a 5.437
_cell_length_b 5.425
_cell_length_c 5.437
_cell_angle_alpha 90.00
_cell_angle_beta 90.00
_cell_angle_gamma 90.00
loop_
_atom_site_label
_atom_site_fract_x
_atom_site_fract_y
_atom_site_fract_z
Bi1 0.000 0.000 0.000
Ru1 0.500 0.500 0.500
Se1 0.500 0.000 0.000
Se2 0.000 0.000 0.500
As1 0.000 0.500 0.000


No. 5
# BiAs2RuSe (PBE, relaxed)
# Space-group type: P4/mmm, No. 123
# Uncorrected formation energy in kJ/mol of atoms: 30
# Raw total energy in eV per atom: -4.877
# Energy above the lowest structure with this stoichiometry in kJ/mol of formula units: 0
data_BiAs2RuSe
_symmetry_space_group_name_H-M 'P 1'
_symmetry_Int_Tables_number 1
_symmetry_space_group_name_Hall 'P 1'
_cell_length_a 4.683
_cell_length_b 4.683
_cell_length_c 5.407
_cell_angle_alpha 90.00
_cell_angle_beta 90.00
_cell_angle_gamma 90.00
loop_
_atom_site_label
_atom_site_fract_x
_atom_site_fract_y
_atom_site_fract_z
Bi1 0.500 0.500 0.500
Se1 0.000 0.000 0.500
As1 0.500 0.000 0.000
As2 0.000 0.500 0.000
Ru1 0.000 0.000 0.000


No. 6
# TiBi2AsRu (PBE, relaxed)
# Space-group type: P4/mmm, No. 123
# Formation energy from the elements in eV/atom: 0.5317
# Raw total energy in eV per atom: -5.385
data_TiBi2AsRu
_symmetry_space_group_name_H-M 'P 1'
_symmetry_Int_Tables_number 1
_symmetry_space_group_name_Hall 'P 1'
_cell_length_a 5.260
_cell_length_b 4.687
_cell_length_c 5.260
_cell_angle_alpha 90.00
_cell_angle_beta 90.00
_cell_angle_gamma 90.00
loop_
_atom_site_label
_atom_site_fract_x
_atom_site_fract_y
_atom_site_fract_z
Ti1 0.000 0.500 0.000
As1 0.500 0.500 0.500
Ru1 0.000 0.000 0.000
Bi1 0.500 0.000 0.000
Bi2 0.000 0.000 0.500


No. 7
# Bi2As2S5 (PBE, relaxed)
# Space-group type: C2/m, No. 12
# Uncorrected formation energy in kJ/mol of atoms: -4
# Raw total energy in eV per atom: -4.235
data_Bi2As2S5
_symmetry_space_group_name_H-M 'P 1'
_symmetry_Int_Tables_number 1
_symmetry_space_group_name_Hall 'P 1'
_cell_length_a 5.183
_cell_length_b 8.359
_cell_length_c 5.718
_cell_angle_alpha 106.05
_cell_angle_beta 90.00
_cell_angle_gamma 108.06
loop_
_atom_site_label
_atom_site_fract_x
_atom_site_fract_y
_atom_site_fract_z
S1 0.000 0.000 0.000
S2 0.860 0.721 0.434
S3 0.337 0.674 0.079
S4 0.663 0.326 0.921
S5 0.140 0.279 0.566
Bi1 0.415 0.830 0.581
Bi2 0.585 0.170 0.419
As1 0.157 0.315 0.970
As2 0.843 0.685 0.030


No. 8
# BiAs2S4 (PBE, relaxed)
# Space-group type: Cmcm, No. 63
# Uncorrected formation energy in kJ/mol of atoms: -7
# Raw total energy in eV per atom: -4.311
# Energy above the lowest structure with this stoichiometry in kJ/mol of formula units: 42
data_BiAs2S4
_symmetry_space_group_name_H-M 'P 1'
_symmetry_Int_Tables_number 1
_symmetry_space_group_name_Hall 'P 1'
_cell_length_a 3.927
_cell_length_b 6.394
_cell_length_c 12.883
_cell_angle_alpha 90.00
_cell_angle_beta 90.00
_cell_angle_gamma 107.89
loop_
_atom_site_label
_atom_site_fract_x
_atom_site_fract_y
_atom_site_fract_z
S1 0.500 0.000 0.500
S2 0.500 0.000 0.000
S3 0.053 0.106 0.250
S4 0.231 0.463 0.612
S5 0.231 0.463 0.888
S6 0.769 0.537 0.112
S7 0.769 0.537 0.388
S8 0.947 0.894 0.750
As1 0.865 0.730 0.548
As2 0.135 0.270 0.048
As3 0.865 0.730 0.952
As4 0.135 0.270 0.452
Bi1 0.405 0.810 0.250
Bi2 0.595 0.190 0.750


No. 9
# Bi2AsS5 (PBE, relaxed)
# Space-group type: Cmcm, No. 63
# Uncorrected formation energy in kJ/mol of atoms: -8
# Raw total energy in eV per atom: -4.219
data_Bi2AsS5
_symmetry_space_group_name_H-M 'P 1'
_symmetry_Int_Tables_number 1
_symmetry_space_group_name_Hall 'P 1'
_cell_length_a 5.456
_cell_length_b 7.282
_cell_length_c 12.820
_cell_angle_alpha 90.00
_cell_angle_beta 90.00
_cell_angle_gamma 112.00
loop_
_atom_site_label
_atom_site_fract_x
_atom_site_fract_y
_atom_site_fract_z
Bi1 0.169 0.337 0.570
Bi2 0.169 0.337 0.930
Bi3 0.831 0.663 0.070
Bi4 0.831 0.663 0.430
S1 0.326 0.652 0.050
S2 0.326 0.652 0.450
S3 0.052 0.104 0.119
S4 0.948 0.896 0.881
S5 0.674 0.348 0.950
S6 0.948 0.896 0.619
S7 0.287 0.574 0.750
S8 0.713 0.426 0.250
S9 0.674 0.348 0.550
S10 0.052 0.104 0.381
As1 0.157 0.315 0.250
As2 0.843 0.685 0.750


No. 10
# Bi3As5S12 (PBE, relaxed)
# Space-group type: Ia-3d, No. 230
# Uncorrected formation energy in kJ/mol of atoms: -1
# Raw total energy in eV per atom: -4.235
data_Bi3As5S12
_symmetry_space_group_name_H-M 'P 1'
_symmetry_Int_Tables_number 1
_symmetry_space_group_name_Hall 'P 1'
_cell_length_a 13.659
_cell_length_b 13.659
_cell_length_c 13.659
_cell_angle_alpha 109.47
_cell_angle_beta 109.47
_cell_angle_gamma 109.47
loop_
_atom_site_label
_atom_site_fract_x
_atom_site_fract_y
_atom_site_fract_z
As1 0.500 0.500 0.000
As2 0.875 0.250 0.625
As3 0.000 0.000 0.500
As4 0.625 0.750 0.875
As5 0.000 0.500 0.000
As6 0.750 0.125 0.875
As7 0.500 0.500 0.500
As8 0.500 0.000 0.500
As9 0.875 0.625 0.750
As10 0.000 0.000 0.000
As11 0.125 0.750 0.375
As12 0.750 0.625 0.375
As13 0.375 0.125 0.750
As14 0.625 0.875 0.250
As15 0.250 0.375 0.625
As16 0.000 0.500 0.500
As17 0.125 0.375 0.250
As18 0.375 0.250 0.125
As19 0.250 0.875 0.125
As20 0.500 0.000 0.000
S1 0.586 0.874 0.412
S2 0.626 0.038 0.212
S3 0.038 0.626 0.712
S4 0.826 0.912 0.038
S5 0.412 0.038 0.326
S6 0.374 0.962 0.788
S7 0.962 0.374 0.288
S8 0.174 0.088 0.962
S9 0.086 0.912 0.374
S10 0.088 0.174 0.462
S11 0.962 0.588 0.174
S12 0.826 0.914 0.288
S13 0.212 0.674 0.086
S14 0.912 0.826 0.538
S15 0.462 0.674 0.088
S16 0.288 0.874 0.962
S17 0.674 0.462 0.588
S18 0.414 0.126 0.588
S19 0.326 0.538 0.412
S20 0.914 0.088 0.626
S21 0.788 0.462 0.374
S22 0.874 0.586 0.912
S23 0.912 0.086 0.874
S24 0.374 0.412 0.086
S25 0.674 0.212 0.586
S26 0.712 0.126 0.038
S27 0.586 0.712 0.674
S28 0.086 0.174 0.212
S29 0.126 0.414 0.088
S30 0.538 0.326 0.912
S31 0.038 0.412 0.826
S32 0.462 0.788 0.874
S33 0.088 0.914 0.126
S34 0.538 0.212 0.126
S35 0.874 0.288 0.462
S36 0.414 0.288 0.326
S37 0.626 0.588 0.914
S38 0.126 0.712 0.538
S39 0.588 0.626 0.414
S40 0.412 0.374 0.586
S41 0.588 0.962 0.674
S42 0.288 0.414 0.826
S43 0.326 0.788 0.414
S44 0.788 0.326 0.914
S45 0.914 0.826 0.788
S46 0.174 0.086 0.712
S47 0.212 0.538 0.626
S48 0.712 0.586 0.174
Bi1 0.250 0.625 0.875
Bi2 0.625 0.375 0.750
Bi3 0.125 0.875 0.750
Bi4 0.750 0.375 0.125
Bi5 0.375 0.750 0.625
Bi6 0.250 0.125 0.375
Bi7 0.875 0.750 0.125
Bi8 0.750 0.875 0.625
Bi9 0.125 0.250 0.875
Bi10 0.375 0.625 0.250
Bi11 0.875 0.125 0.250
Bi12 0.625 0.250 0.375